Below is an optimized crystal structure of VPdF2, with properties calculated at the PBE+U level.

## Properties
Energy above the lowest structure with this stoichiometry   0.405 eV per atom
E   -20.5 eV per formula unit
Density of states at the Fermi level   2.08 states/eV/f.u.
Symmetry   I-42d

a b c (Å): 4.3415 4.3415 7.2180
angles (deg): 72.50 72.50 90.00
Atoms (fractional coordinates):
1 V 0.5000 0.5000 0.0000
2 V 0.2500 0.7500 0.5000
3 Pd 0.0000 0.0000 0.0000
4 Pd 0.7500 0.2500 0.5000
5 F 0.5242 0.1250 0.2500
6 F 0.2258 0.6250 0.2500
7 F 0.3750 0.4758 0.7500
8 F 0.8750 0.7742 0.7500